Density functional theory data (GGA-PBE) for a relaxed Ba2NiGe2 crystal.

Geometry as CIF:
```
data_Ba2NiGe2
_chemical_formula_sum 'Ba4 Ni2 Ge4'
_cell_length_a 6.9834
_cell_length_b 6.9834
_cell_length_c 5.3458
_cell_angle_alpha 90.00
_cell_angle_beta 90.00
_cell_angle_gamma 90.00
_space_group_name_H-M_alt 'P 1'
_space_group_IT_number 1
_space_group_name_Hall 'P 1'
loop_
_atom_site_label
_atom_site_type_symbol
_atom_site_fract_x
_atom_site_fract_y
_atom_site_fract_z
Ge1 Ge 0.3614 0.8614 0.0000
Ge2 Ge 0.8614 0.6386 0.0000
Ge3 Ge 0.6386 0.1386 0.0000
Ge4 Ge 0.1386 0.3614 0.0000
Ba1 Ba 0.6704 0.8296 0.5000
Ba2 Ba 0.1704 0.6704 0.5000
Ba3 Ba 0.8296 0.3296 0.5000
Ba4 Ba 0.3296 0.1704 0.5000
Ni1 Ni 0.0000 0.0000 0.0000
Ni2 Ni 0.5000 0.5000 0.0000
```

Properties
The value obtained for the energy of formation is -0.15 eV/atom.